1.
Compound: Dy6Y2MgSc3
Source: Alexandria
Functional: PBE-GGA
Structure: optimized geometry

* calculated formation energy: 1.027 kcal/mol of atoms
* DOS(E_F): 16.02 states/eV/f.u.
* space group: C2/m, No. 12

Unit cell a=5.997 b=5.997 c=11.378 alpha=95.05 beta=95.05 gamma=120.00
Atoms (fractional coordinates):
Dy (0.914, 0.581, 0.741)
Dy (0.753, 0.753, 0.259)
Dy (0.086, 0.419, 0.259)
Dy (0.581, 0.914, 0.741)
Dy (0.247, 0.247, 0.741)
Dy (0.419, 0.086, 0.259)
Y (0.333, 0.667, 0.000)
Y (0.667, 0.333, 0.000)
Mg (0.000, 0.000, 0.000)
Sc (0.166, 0.834, 0.500)
Sc (0.834, 0.166, 0.500)
Sc (0.500, 0.500, 0.500)

---

2.
Compound: VOsRu2
Source: Alexandria
Functional: PBE-GGA
Structure: optimized geometry

* calculated formation energy: 12.983 kcal/mol of atoms
* relative energy among the computed polymorphs: 638 meV per atom
* DOS(E_F): 5.17 states/eV/f.u.
* space group: I-42d, No. 122

Unit cell a=3.747 b=3.747 c=9.080 alpha=78.09 beta=78.09 gamma=90.00
Atoms (fractional coordinates):
Ru (0.611, 0.125, 0.250)
Ru (0.139, 0.625, 0.250)
Ru (0.375, 0.389, 0.750)
Ru (0.875, 0.861, 0.750)
Os (0.000, 0.000, 0.000)
Os (0.750, 0.250, 0.500)
V (0.500, 0.500, 0.000)
V (0.250, 0.750, 0.500)

---

3.
Compound: PaCuRu2O8
Source: Alexandria
Functional: PBE-GGA
Structure: optimized geometry

* DOS(E_F): 8.56 states/eV/f.u.
* space group: I-4m2, No. 119
* raw formation energy: -1.3832 eV/atom

Unit cell a=5.053 b=5.053 c=6.125 alpha=114.38 beta=114.41 gamma=89.99
Atoms (fractional coordinates):
Pa (0.750, 0.250, 0.500)
Cu (0.000, 0.000, 0.000)
Ru (0.500, 0.500, 0.000)
Ru (0.250, 0.750, 0.500)
O (0.878, 0.853, 0.246)
O (0.368, 0.392, 0.246)
O (0.608, 0.633, 0.755)
O (0.146, 0.122, 0.754)
O (0.878, 0.392, 0.246)
O (0.367, 0.854, 0.245)
O (0.146, 0.632, 0.754)
O (0.608, 0.122, 0.754)

---

4.
Compound: LiZrSb
Source: Alexandria
Functional: PBE-GGA
Structure: optimized geometry

* relative energy among the computed polymorphs: 413 meV per atom
* DOS(E_F): 2.06 states/eV/f.u.
* space group: Fmm2, No. 42
* raw formation energy: -0.2331 eV/atom

Unit cell a=5.783 b=5.595 c=3.509 alpha=74.99 beta=69.13 gamma=35.88
Atoms (fractional coordinates):
Li (0.983, 0.983, 0.017)
Sb (0.350, 0.350, 0.650)
Zr (0.667, 0.667, 0.333)

---

5.
Compound: CsAsCl3
Source: Alexandria
Functional: PBE-GGA
Structure: optimized geometry

* relative energy among the computed polymorphs: 113 meV per atom
* space group: P2_1/c, No. 14
* raw formation energy: -1.0249 eV/atom

Unit cell a=8.911 b=10.149 c=10.283 alpha=120.68 beta=90.00 gamma=90.00
Atoms (fractional coordinates):
Cs (0.739, 0.563, 0.432)
Cs (0.261, 0.437, 0.568)
Cs (0.239, 0.937, 0.068)
Cs (0.761, 0.063, 0.932)
As (0.132, 0.399, 0.090)
As (0.868, 0.601, 0.910)
As (0.632, 0.101, 0.410)
As (0.368, 0.899, 0.590)
Cl (0.026, 0.279, 0.252)
Cl (0.974, 0.721, 0.748)
Cl (0.526, 0.221, 0.248)
Cl (0.474, 0.779, 0.752)
Cl (0.358, 0.664, 0.380)
Cl (0.642, 0.336, 0.620)
Cl (0.858, 0.836, 0.120)
Cl (0.142, 0.164, 0.880)
Cl (0.685, 0.971, 0.535)
Cl (0.315, 0.029, 0.465)
Cl (0.185, 0.529, 0.965)
Cl (0.815, 0.471, 0.035)

---

6.
Compound: Na2AgSbO4
Source: Alexandria
Functional: PBE-GGA
Structure: optimized geometry

* space group: I-42m, No. 121
* raw formation energy: -1.1182 eV/atom

Unit cell a=6.169 b=5.352 c=5.352 alpha=70.60 beta=54.81 gamma=54.81
Atoms (fractional coordinates):
Na (0.000, 0.500, 0.500)
Na (0.500, 0.500, 0.500)
Ag (0.500, 0.000, 0.000)
Sb (0.000, 0.000, 0.000)
O (0.997, 0.361, 0.000)
O (0.003, 0.000, 0.639)
O (0.642, 0.000, 0.361)
O (0.358, 0.639, 0.000)

---

7.
Compound: NaSCl3
Source: Alexandria
Functional: PBE-GGA
Structure: optimized geometry

* relative energy among the computed polymorphs: 0 meV per atom
* DOS(E_F): 0.00 states/eV/f.u.
* space group: P2_1/c, No. 14
* raw formation energy: -0.7209 eV/atom

Unit cell a=9.141 b=7.204 c=12.129 alpha=90.00 beta=125.23 gamma=90.00
Atoms (fractional coordinates):
Na (0.951, 0.676, 0.369)
Na (0.549, 0.176, 0.131)
Na (0.049, 0.324, 0.631)
Na (0.451, 0.824, 0.869)
S (0.442, 0.572, 0.163)
S (0.058, 0.072, 0.337)
S (0.558, 0.428, 0.837)
S (0.942, 0.928, 0.663)
Cl (0.173, 0.668, 0.641)
Cl (0.327, 0.168, 0.859)
Cl (0.827, 0.332, 0.359)
Cl (0.673, 0.832, 0.141)
Cl (0.823, 0.138, 0.705)
Cl (0.677, 0.638, 0.795)
Cl (0.177, 0.862, 0.295)
Cl (0.323, 0.362, 0.205)
Cl (0.722, 0.805, 0.498)
Cl (0.778, 0.305, 0.002)
Cl (0.278, 0.195, 0.502)
Cl (0.222, 0.695, 0.998)

---

8.
Compound: AcGdGa
Source: Alexandria
Functional: PBE-GGA
Structure: optimized geometry

* calculated formation energy: -5.608 kcal/mol of atoms
* relative energy among the computed polymorphs: 61 meV per atom
* DOS(E_F): 2.77 states/eV/f.u.
* space group: P-6m2, No. 187

Unit cell a=4.374 b=5.044 c=5.044 alpha=120.00 beta=90.00 gamma=90.00
Atoms (fractional coordinates):
Ac (0.000, 0.000, 0.000)
Gd (0.500, 0.667, 0.333)
Ga (0.499, 0.333, 0.667)

---

9.
Compound: Tm2PaOs2
Source: Alexandria
Functional: PBE-GGA
Structure: optimized geometry

* calculated formation energy: -8.715 kcal/mol of atoms
* DOS(E_F): 4.06 states/eV/f.u.
* space group: C2/c, No. 15

Unit cell a=5.731 b=5.731 c=8.024 alpha=79.45 beta=79.45 gamma=60.11
Atoms (fractional coordinates):
Tm (0.492, 0.209, 0.150)
Tm (0.791, 0.508, 0.350)
Tm (0.508, 0.791, 0.850)
Tm (0.209, 0.492, 0.650)
Pa (0.149, 0.851, 0.250)
Pa (0.851, 0.149, 0.750)
Os (0.727, 0.004, 0.508)
Os (0.996, 0.273, 0.992)
Os (0.273, 0.996, 0.492)
Os (0.004, 0.727, 0.008)

---

10.
Compound: BaLi2CdAu4
Source: Alexandria
Functional: PBE-GGA
Structure: optimized geometry

* calculated formation energy: -11.233 kcal/mol of atoms
* DOS(E_F): 2.11 states/eV/f.u.
* space group: R-3m, No. 166

Unit cell a=4.593 b=4.593 c=10.239 alpha=77.04 beta=77.04 gamma=60.00
Atoms (fractional coordinates):
Ba (0.000, 0.000, 0.000)
Li (0.773, 0.773, 0.682)
Li (0.227, 0.227, 0.318)
Cd (0.500, 0.500, 0.500)
Au (0.404, 0.404, 0.787)
Au (0.878, 0.878, 0.365)
Au (0.122, 0.122, 0.635)
Au (0.596, 0.596, 0.213)

---

11.
Compound: PuCuSi2
Source: Alexandria
Functional: PBE-GGA
Structure: optimized geometry

* DOS(E_F): 8.77 states/eV/f.u.
* space group: Pnma, No. 62
* raw formation energy: -0.3962 eV/atom

Unit cell a=3.908 b=7.027 c=10.005 alpha=90.00 beta=90.00 gamma=90.00
Atoms (fractional coordinates):
Pu (0.750, 0.641, 0.372)
Pu (0.750, 0.141, 0.128)
Pu (0.250, 0.359, 0.628)
Pu (0.250, 0.859, 0.872)
Cu (0.250, 0.003, 0.387)
Cu (0.750, 0.997, 0.613)
Cu (0.250, 0.503, 0.113)
Cu (0.750, 0.497, 0.887)
Si (0.750, 0.712, 0.072)
Si (0.250, 0.288, 0.928)
Si (0.750, 0.212, 0.428)
Si (0.250, 0.788, 0.572)
Si (0.750, 0.163, 0.818)
Si (0.250, 0.337, 0.318)
Si (0.750, 0.663, 0.682)
Si (0.250, 0.837, 0.182)

---

12.
Compound: YPb2O2
Source: Alexandria
Functional: PBE-GGA
Structure: optimized geometry

* relative energy among the computed polymorphs: 0 meV per atom
* DOS(E_F): 1.36 states/eV/f.u.
* space group: P4/mbm, No. 127
* raw formation energy: -1.4568 eV/atom

Unit cell a=6.492 b=6.492 c=4.980 alpha=90.00 beta=90.00 gamma=90.00
Atoms (fractional coordinates):
Pb (0.181, 0.681, 0.500)
Pb (0.681, 0.819, 0.500)
Pb (0.819, 0.319, 0.500)
Pb (0.319, 0.181, 0.500)
Y (0.000, 0.000, 0.000)
Y (0.500, 0.500, 0.000)
O (0.235, 0.735, 0.000)
O (0.735, 0.765, 0.000)
O (0.765, 0.265, 0.000)
O (0.265, 0.235, 0.000)

---

13.
Compound: TmBTe
Source: Alexandria
Functional: PBE-GGA
Structure: optimized geometry

* DOS(E_F): 0.95 states/eV/f.u.
* space group: R-3m, No. 166
* raw formation energy: -0.6241 eV/atom

Unit cell a=3.389 b=3.389 c=12.739 alpha=82.36 beta=82.36 gamma=60.00
Atoms (fractional coordinates):
Tm (0.547, 0.547, 0.358)
Tm (0.453, 0.453, 0.642)
Te (0.279, 0.279, 0.164)
Te (0.721, 0.721, 0.836)
B (0.834, 0.834, 0.498)
B (0.166, 0.166, 0.502)

---

14.
Compound: Pr8P3I4N
Source: Alexandria
Functional: PBE-GGA
Structure: optimized geometry

* DOS(E_F): 5.51 states/eV/f.u.
* space group: R-3m, No. 166
* raw formation energy: -1.3098 eV/atom

Unit cell a=8.328 b=9.140 c=8.328 alpha=117.10 beta=120.00 gamma=90.00
Atoms (fractional coordinates):
Pr (0.212, 0.680, 0.968)
Pr (0.212, 0.680, 0.425)
Pr (0.271, 0.312, 0.542)
Pr (0.756, 0.680, 0.968)
Pr (0.244, 0.320, 0.032)
Pr (0.729, 0.688, 0.458)
Pr (0.788, 0.320, 0.575)
Pr (0.788, 0.320, 0.032)
P (0.500, 0.500, 0.000)
P (0.500, 0.500, 0.500)
P (0.000, 0.500, 0.500)
I (0.500, 0.000, 0.000)
I (0.500, 0.000, 0.500)
I (0.000, 0.000, 0.000)
I (0.000, 0.000, 0.500)
N (0.000, 0.500, 0.000)

---

15.
Compound: Ca2MgAgN
Source: Alexandria
Functional: PBE-GGA
Structure: optimized geometry

* relative energy among the computed polymorphs: 312 meV per atom
* DOS(E_F): 2.26 states/eV/f.u.
* space group: P4/mmm, No. 123
* raw formation energy: -0.1879 eV/atom

Unit cell a=4.856 b=4.673 c=4.856 alpha=90.00 beta=90.00 gamma=90.00
Atoms (fractional coordinates):
Ca (0.000, 0.000, 0.500)
Ca (0.500, 0.000, 0.000)
Mg (0.500, 0.500, 0.500)
Ag (0.000, 0.500, 0.000)
N (0.000, 0.000, 0.000)

---

16.
Compound: Tl2Hg
Source: Alexandria
Functional: PBE-GGA
Structure: optimized geometry

* calculated formation energy: 0.047 kcal/mol of atoms
* relative energy among the computed polymorphs: 10 meV per atom
* DOS(E_F): 1.48 states/eV/f.u.
* space group: Pnma, No. 62

Unit cell a=5.680 b=6.802 c=9.299 alpha=90.00 beta=90.00 gamma=90.00
Atoms (fractional coordinates):
Hg (0.250, 0.721, 0.416)
Hg (0.750, 0.779, 0.916)
Hg (0.250, 0.221, 0.084)
Hg (0.750, 0.279, 0.584)
Tl (0.250, 0.005, 0.772)
Tl (0.750, 0.495, 0.272)
Tl (0.250, 0.505, 0.728)
Tl (0.750, 0.995, 0.228)
Tl (0.250, 0.201, 0.420)
Tl (0.750, 0.299, 0.920)
Tl (0.250, 0.701, 0.080)
Tl (0.750, 0.799, 0.580)

---

17.
Compound: HoEr7
Source: Alexandria
Functional: PBE-GGA
Structure: optimized geometry

* calculated formation energy: 0.596 kcal/mol of atoms
* DOS(E_F): 13.01 states/eV/f.u.
* space group: Fm-3m, No. 225

Unit cell a=6.993 b=6.993 c=6.993 alpha=60.00 beta=60.00 gamma=60.00
Atoms (fractional coordinates):
Ho (0.000, 0.000, 0.000)
Er (0.500, 0.500, 0.000)
Er (0.500, 0.000, 0.500)
Er (0.000, 0.500, 0.500)
Er (0.500, 0.000, 0.000)
Er (0.000, 0.500, 0.000)
Er (0.000, 0.000, 0.500)
Er (0.500, 0.500, 0.500)

---

18.
Compound: SbRu2Pb
Source: Alexandria
Functional: PBE-GGA
Structure: optimized geometry

* DOS(E_F): 2.97 states/eV/f.u.
* space group: P4/mmm, No. 123
* raw formation energy: 0.2526 eV/atom

Unit cell a=3.224 b=3.224 c=7.009 alpha=90.00 beta=90.00 gamma=90.00
Atoms (fractional coordinates):
Pb (0.500, 0.500, 0.750)
Ru (0.000, 0.000, 0.030)
Ru (0.000, 0.000, 0.470)
Sb (0.500, 0.500, 0.250)

---

19.
Compound: MgBi3C
Source: Alexandria
Functional: PBE-GGA
Structure: optimized geometry

* calculated formation energy: 41.515 kcal/mol of atoms
* relative energy among the computed polymorphs: 935 meV per atom
* DOS(E_F): 6.36 states/eV/f.u.
* space group: Pm-3m, No. 221

Unit cell a=5.483 b=5.483 c=5.483 alpha=90.00 beta=90.00 gamma=90.00
Atoms (fractional coordinates):
C (0.500, 0.500, 0.500)
Mg (0.000, 0.000, 0.000)
Bi (0.000, 0.500, 0.000)
Bi (0.000, 0.000, 0.500)
Bi (0.500, 0.000, 0.000)

---

20.
Compound: MnNb2Si2
Source: Alexandria
Functional: PBE-GGA
Structure: optimized geometry

* DOS(E_F): 2.99 states/eV/f.u.
* space group: P4/mbm, No. 127
* raw formation energy: -0.5513 eV/atom

Unit cell a=6.437 b=6.437 c=3.616 alpha=90.00 beta=90.00 gamma=90.00
Atoms (fractional coordinates):
Nb (0.172, 0.672, 0.500)
Nb (0.672, 0.828, 0.500)
Nb (0.828, 0.328, 0.500)
Nb (0.328, 0.172, 0.500)
Mn (0.000, 0.000, 0.000)
Mn (0.500, 0.500, 0.000)
Si (0.369, 0.869, 0.000)
Si (0.869, 0.631, 0.000)
Si (0.631, 0.131, 0.000)
Si (0.131, 0.369, 0.000)